(1)
RbBrCl4: relaxed, PBE.

abc: 5.421 5.421 7.795
angles: 105.07 105.07 82.44
Fractional coordinates of all 6 atoms:
Rb1 0.000 0.000 0.000
Br1 0.500 0.500 0.500
Cl1 0.192 0.192 0.452
Cl2 0.441 0.441 0.173
Cl3 0.559 0.559 0.827
Cl4 0.808 0.808 0.548

Output
For the volume, the calculation gives 35.515 Å³ per atom. Its space-group type is C2/m. The offset from the most stable computed form comes out at 0.0216 eV/atom. As for the raw total energy: -0.169 Ry per atom. The calculation puts the uncorrected formation energy at -0.63 eV per atom.

(2)
RbBrCl3: relaxed, PBE.

abc: 5.640 5.640 5.640
angles: 83.46 83.46 83.46
Fractional coordinates of all 5 atoms:
Rb1 0.000 0.000 0.000
Br1 0.396 0.396 0.396
Cl1 0.590 0.590 0.999
Cl2 0.590 0.999 0.590
Cl3 0.999 0.590 0.590

Output
For the volume, the calculation gives 35.231 Å³ per atom. Its space-group type is R3m. The offset from the most stable computed form comes out at 0.2585 eV/atom. As for the raw total energy: -0.163 Ry per atom. The calculation puts the uncorrected formation energy at -0.58 eV per atom.

(3)
Rb5BrCl4: relaxed, PBE.

abc: 17.215 17.215 17.215
angles: 164.03 164.03 22.65
Fractional coordinates of all 10 atoms:
Rb1 0.000 0.000 0.000
Rb2 0.201 0.201 0.000
Rb3 0.397 0.397 0.000
Rb4 0.603 0.603 0.000
Rb5 0.799 0.799 0.000
Br1 0.500 0.500 0.000
Cl1 0.100 0.100 0.000
Cl2 0.299 0.299 0.000
Cl3 0.701 0.701 0.000
Cl4 0.900 0.900 0.000

Output
For the volume, the calculation gives 38.594 Å³ per atom. Its space-group type is I4/mmm. The offset from the most stable computed form comes out at 0.0031 eV/atom. As for the raw total energy: -0.242 Ry per atom. The calculation puts the uncorrected formation energy at -1.90 eV per atom.

- offset from the most stable computed form of number 2 (RbBrCl3)?
  0.2585 eV/atom

- What is the volume in the first record?
  35.515 Å³ per atom

- Number 2 is which compound?
  RbBrCl3

- raw total energy of number 2 (RbBrCl3)?
  -0.163 Ry per atom